No. 1
# K2AlCo PBE-GGA relaxed
# M_tot   0.071 Bohr magnetons per cell
# Calculated volume   29.4 Å³ per atom
data_K2AlCo
_cell_length_a 10.324
_cell_length_b 10.324
_cell_length_c 3.794
_cell_angle_alpha 79.83
_cell_angle_beta 79.83
_cell_angle_gamma 17.18
_symmetry_space_group_name_H-M 'P 1'
_symmetry_Int_Tables_number 1
loop_
_symmetry_equiv_pos_as_xyz
'x,y,z'
loop_
_atom_site_label
_atom_site_type_symbol
_atom_site_fract_x
_atom_site_fract_y
_atom_site_fract_z
Al1 Al 0.250 0.250 0.250
Co1 Co 0.750 0.750 0.750
K1 K 0.103 0.103 0.888
K2 K 0.397 0.397 0.612



No. 2
# KAlCo3 PBE-GGA relaxed
# M_tot   3.555 Bohr magnetons per cell
# Calculated volume   17.2 Å³ per atom
data_KAlCo3
_cell_length_a 4.416
_cell_length_b 4.416
_cell_length_c 4.416
_cell_angle_alpha 90.00
_cell_angle_beta 90.00
_cell_angle_gamma 90.00
_symmetry_space_group_name_H-M 'P 1'
_symmetry_Int_Tables_number 1
loop_
_symmetry_equiv_pos_as_xyz
'x,y,z'
loop_
_atom_site_label
_atom_site_type_symbol
_atom_site_fract_x
_atom_site_fract_y
_atom_site_fract_z
Co1 Co 0.500 0.000 0.000
Co2 Co 0.000 0.500 0.000
Co3 Co 0.000 0.000 0.500
K1 K 0.000 0.000 0.000
Al1 Al 0.500 0.500 0.500



| no. | energy of formation from the pure elements (eV per atom) |
| --- | --- |
| 1 | 0.306 |
| 2 | 2.263 |